# AsAuSe2 PBE-GGA relaxed
# Space group ... I-42d (122)
# Formation energy without anion corrections ... 11 kJ per mole of atoms
data_AsAuSe2
_space_group_name_H-M_alt 'P 1'
_space_group_IT_number 1
_cell_length_a 5.878
_cell_length_b 5.878
_cell_length_c 7.694
_cell_angle_alpha 67.54
_cell_angle_beta 67.54
_cell_angle_gamma 90.00
loop_
_space_group_symop_operation_xyz
'x,y,z'
loop_
_atom_site_label
_atom_site_type_symbol
_atom_site_fract_x
_atom_site_fract_y
_atom_site_fract_z
As1 As 0.500 0.500 0.000
As2 As 0.250 0.750 0.500
Au1 Au 0.000 0.000 0.000
Au2 Au 0.750 0.250 0.500
Se1 Se 0.623 0.125 0.250
Se2 Se 0.127 0.625 0.250
Se3 Se 0.375 0.377 0.750
Se4 Se 0.875 0.873 0.750

***

# GaFeSb2Te PBE-GGA relaxed
# Space group ... P4/mmm (123)
# Formation energy without anion corrections ... 127 kJ per mole of atoms
data_GaFeSb2Te
_space_group_name_H-M_alt 'P 1'
_space_group_IT_number 1
_cell_length_a 5.152
_cell_length_b 5.152
_cell_length_c 5.199
_cell_angle_alpha 90.00
_cell_angle_beta 90.00
_cell_angle_gamma 90.00
loop_
_space_group_symop_operation_xyz
'x,y,z'
loop_
_atom_site_label
_atom_site_type_symbol
_atom_site_fract_x
_atom_site_fract_y
_atom_site_fract_z
Sb1 Sb 0.000 0.500 0.000
Sb2 Sb 0.500 0.000 0.000
Te1 Te 0.000 0.000 0.500
Fe1 Fe 0.500 0.500 0.500
Ga1 Ga 0.000 0.000 0.000

***

# La2YTe PBE-GGA relaxed
# Space group ... P4mm (99)
# Formation energy without anion corrections ... -60 kJ per mole of atoms
data_La2YTe
_space_group_name_H-M_alt 'P 1'
_space_group_IT_number 1
_cell_length_a 3.942
_cell_length_b 3.942
_cell_length_c 8.282
_cell_angle_alpha 90.00
_cell_angle_beta 90.00
_cell_angle_gamma 90.00
loop_
_space_group_symop_operation_xyz
'x,y,z'
loop_
_atom_site_label
_atom_site_type_symbol
_atom_site_fract_x
_atom_site_fract_y
_atom_site_fract_z
La1 La 0.000 0.000 0.981
La2 La 0.500 0.500 0.280
Te1 Te 0.000 0.000 0.526
Y1 Y 0.500 0.500 0.713

***

# MnCl2 PBE-GGA relaxed
# Space group ... P6/mmm (191)
# Formation energy without anion corrections ... 21 kJ per mole of atoms
data_MnCl2
_space_group_name_H-M_alt 'P 1'
_space_group_IT_number 1
_cell_length_a 4.787
_cell_length_b 4.787
_cell_length_c 3.203
_cell_angle_alpha 90.00
_cell_angle_beta 90.00
_cell_angle_gamma 120.00
loop_
_space_group_symop_operation_xyz
'x,y,z'
loop_
_atom_site_label
_atom_site_type_symbol
_atom_site_fract_x
_atom_site_fract_y
_atom_site_fract_z
Mn1 Mn 0.000 0.000 0.000
Cl1 Cl 0.333 0.667 0.500
Cl2 Cl 0.667 0.333 0.500

***

# UW4Se8 PBE-GGA relaxed
# Space group ... R-3m (166)
# Formation energy without anion corrections ... -19 kJ per mole of atoms
data_UW4Se8
_space_group_name_H-M_alt 'P 1'
_space_group_IT_number 1
_cell_length_a 7.072
_cell_length_b 7.072
_cell_length_c 7.748
_cell_angle_alpha 90.00
_cell_angle_beta 117.15
_cell_angle_gamma 120.00
loop_
_space_group_symop_operation_xyz
'x,y,z'
loop_
_atom_site_label
_atom_site_type_symbol
_atom_site_fract_x
_atom_site_fract_y
_atom_site_fract_z
U1 U 0.000 0.500 0.500
W1 W 0.000 0.000 0.000
W2 W 0.000 0.500 0.000
W3 W 0.500 0.500 0.000
W4 W 0.500 0.000 0.000
Se1 Se 0.494 0.747 0.241
Se2 Se 0.506 0.253 0.759
Se3 Se 0.480 0.240 0.244
Se4 Se 0.996 0.236 0.756
Se5 Se 0.520 0.760 0.756
Se6 Se 0.996 0.760 0.756
Se7 Se 0.004 0.240 0.244
Se8 Se 0.004 0.764 0.244

***

# TlSb2Pd PBE-GGA relaxed
# Space group ... R-3m (166)
# Formation energy without anion corrections ... -10 kJ per mole of atoms
data_TlSb2Pd
_space_group_name_H-M_alt 'P 1'
_space_group_IT_number 1
_cell_length_a 3.399
_cell_length_b 3.399
_cell_length_c 10.865
_cell_angle_alpha 81.00
_cell_angle_beta 81.00
_cell_angle_gamma 60.00
loop_
_space_group_symop_operation_xyz
'x,y,z'
loop_
_atom_site_label
_atom_site_type_symbol
_atom_site_fract_x
_atom_site_fract_y
_atom_site_fract_z
Sb1 Sb 0.105 0.105 0.684
Sb2 Sb 0.895 0.895 0.316
Tl1 Tl 0.000 0.000 0.000
Pd1 Pd 0.500 0.500 0.500

***

Number 1: calculated total energy -3.6130 eV/atom. Number 2: calculated total energy -3.2552 eV/atom. Number 3: calculated total energy -5.4909 eV/atom. Number 4: calculated total energy -4.0658 eV/atom. Number 5: calculated total energy -7.1980 eV/atom. Number 6: calculated total energy -4.0548 eV/atom.